Below is crystalline Tm2TeN at its relaxed geometry, with properties calculated at the PBE level.

Unit cell a=3.693 b=3.693 c=7.130 alpha=74.99 beta=74.99 gamma=60.00
Sites, in units of the cell vectors:
Tm (0.273, 0.273, 0.182)
N (0.000, 0.000, 0.000)
Te (0.500, 0.500, 0.500)
Tm (0.727, 0.727, 0.818)

Output
space group: R-3m
magnetic moment: 0.00 μB/cell
formation energy from raw total energies: -1.3657 eV per atom
density of states at the Fermi level: 2.1 states/eV/cell

=====

Below is crystalline Pm3Cd2Pb at its relaxed geometry, with properties calculated at the PBE level.

Unit cell a=3.865 b=5.433 c=16.452 alpha=90.00 beta=90.00 gamma=90.00
Sites, in units of the cell vectors:
Pm (0.500, 0.500, 0.667)
Pm (0.500, 0.000, 0.833)
Cd (0.000, 0.000, 0.674)
Pb (0.000, 0.500, 0.500)
Pm (0.500, 0.500, 0.333)
Pm (0.500, 0.000, 0.500)
Cd (0.000, 0.500, 0.826)
Cd (0.000, 0.000, 0.326)
Cd (0.000, 0.500, 0.174)
Pm (0.500, 0.000, 0.167)
Pb (0.000, 0.000, 0.000)
Pm (0.500, 0.500, 0.000)

Output
space group: Cmmm
magnetic moment: 0.00 μB/cell
formation energy from the elements: -396 meV/atom
density of states at the Fermi level: 12.0 states/eV/cell

=====

Below is crystalline PuSeS at its relaxed geometry, with properties calculated at the PBE level.

Unit cell a=3.670 b=3.670 c=5.312 alpha=110.21 beta=110.21 gamma=90.00
Last column: magnetic moment on the atom in μB.
Sites, in units of the cell vectors:
S (0.312, 0.312, 0.623)  -0.15
Se (0.015, 0.015, 0.029)  -0.17
Pu (0.674, 0.674, 0.348)  4.80

Output
space group: I4mm
magnetic moment: 4.55 μB/cell
formation energy from raw total energies: -1.1572 eV per atom
density of states at the Fermi level: 7.5 states/eV/cell

=====

Values of energy, in order: -6.468 -3.695 -8.472, all in eV/atom.
Values of V, in order: 20.09 28.78 20.81, all in A^3/atom.